Record 1
A relaxed structure of KPuTlSe3. Source: the Open Quantum Materials Database, functional GGA-PBE.

Calculated volume = 415.1 Å³/cell
Space group = Cmcm
E = -0.2094 Ha/atom

Cell and atoms, written as POSCAR:
```
KPuTlSe3
1.0
2.123 -8.068 0.000
2.123 8.068 0.000
0.000 0.000 12.119
K Pu Se Tl
2 2 6 2
direct
0.838 0.162 0.250
0.162 0.838 0.750
0.500 0.500 0.000
0.500 0.500 0.500
0.886 0.114 0.002
0.504 0.496 0.250
0.886 0.114 0.498
0.114 0.886 0.502
0.496 0.504 0.750
0.114 0.886 0.998
0.136 0.864 0.250
0.864 0.136 0.750
```


Record 2
A relaxed structure of KPuSi. Source: the Open Quantum Materials Database, functional GGA-PBE.

Calculated volume = 95.9 Å³/cell
Space group = F-43m
E = -0.2381 Ha/atom
Energy relative to the lowest polymorph listed for this composition = 0 meV/atom

Cell and atoms, written as POSCAR:
```
KPuSi
1.0
0.000 3.633 3.633
3.633 0.000 3.633
3.633 3.633 0.000
K Pu Si
1 1 1
direct
0.250 0.250 0.250
0.750 0.750 0.750
0.000 0.000 0.000
```


Record 3
A relaxed structure of KSrPu. Source: the Open Quantum Materials Database, functional GGA-PBE.

Calculated volume = 194.5 Å³/cell
Space group = F-43m
E = -0.1707 Ha/atom

Cell and atoms, written as POSCAR:
```
KSrPu
1.0
0.461 -5.568 3.328
-3.421 -5.203 -1.877
3.038 -5.116 -2.626
K Pu Sr
1 1 1
direct
0.250 0.250 0.250
0.000 0.000 0.000
0.750 0.750 0.750
```


Record 4
A relaxed structure of KTbPu. Source: the Open Quantum Materials Database, functional GGA-PBE.

Calculated volume = 142.3 Å³/cell
Space group = F-43m
E = -0.1977 Ha/atom
Energy relative to the lowest polymorph listed for this composition = 0 meV/atom

Cell and atoms, written as POSCAR:
```
KTbPu
1.0
0.372 -2.493 5.290
-0.569 3.272 4.828
-4.787 -0.514 3.340
K Pu Tb
1 1 1
direct
0.000 0.000 0.000
0.250 0.250 0.250
0.500 0.500 0.500
```


Record 5
A relaxed structure of KPuTlTe3. Source: the Open Quantum Materials Database, functional GGA-PBE.

Calculated volume = 486.1 Å³/cell
Space group = Cmcm
E = -0.1923 Ha/atom
Energy relative to the lowest polymorph listed for this composition = 100 meV/atom

Cell and atoms, written as POSCAR:
```
KPuTlTe3
1.0
6.292 4.969 2.968
-8.216 -0.954 -2.163
-2.766 -3.763 12.164
K Pu Te Tl
2 2 6 2
direct
0.668 0.332 0.250
0.332 0.668 0.750
0.000 0.000 0.000
0.000 0.000 0.500
0.624 0.376 0.000
0.997 0.003 0.250
0.624 0.376 0.500
0.376 0.624 0.500
0.003 0.997 0.750
0.376 0.624 0.000
0.363 0.637 0.250
0.637 0.363 0.750
```


Record 6
A relaxed structure of KPuTlTe3. Source: the Open Quantum Materials Database, functional GGA-PBE.

Calculated volume = 454.3 Å³/cell
Space group = P2_1/m
E = -0.1960 Ha/atom
Energy relative to the lowest polymorph listed for this composition = 0 meV/atom

Cell and atoms, written as POSCAR:
```
KPuTlTe3
1.0
-4.282 4.711 5.733
-2.819 -3.492 0.764
7.432 -4.267 7.925
K Pu Te Tl
2 2 6 2
direct
0.745 0.750 0.486
0.255 0.250 0.514
0.082 0.750 0.165
0.918 0.250 0.835
0.203 0.250 0.011
0.935 0.250 0.298
0.388 0.750 0.304
0.612 0.250 0.696
0.065 0.750 0.702
0.797 0.750 0.989
0.567 0.250 0.153
0.433 0.750 0.847
```


Record 7
A relaxed structure of KPuU. Source: the Open Quantum Materials Database, functional GGA-PBE.

Calculated volume = 112.2 Å³/cell
Space group = F-43m
E = -0.2598 Ha/atom
Energy relative to the lowest polymorph listed for this composition = 0 meV/atom

Cell and atoms, written as POSCAR:
```
KPuU
1.0
-2.265 0.210 4.912
-4.465 -2.876 1.047
0.256 -4.296 3.284
K Pu U
1 1 1
direct
0.250 0.250 0.250
0.750 0.750 0.750
0.000 0.000 0.000
```


Record 8
A relaxed structure of KPuW. Source: the Open Quantum Materials Database, functional GGA-PBE.

Calculated volume = 90.3 Å³/cell
Space group = F-43m
E = -0.2732 Ha/atom
Energy relative to the lowest polymorph listed for this composition = 0 meV/atom

Cell and atoms, written as POSCAR:
```
KPuW
1.0
0.000 3.560 3.560
3.560 0.000 3.560
3.560 3.560 0.000
K Pu W
1 1 1
direct
0.000 0.000 0.000
0.500 0.500 0.500
0.250 0.250 0.250
```


Record 9
A relaxed structure of KRbRe. Source: the Open Quantum Materials Database, functional GGA-PBE.

Calculated volume = 146.5 Å³/cell
Space group = F-43m
E = -0.1003 Ha/atom
Energy relative to the lowest polymorph listed for this composition = 0 meV/atom

Cell and atoms, written as POSCAR:
```
KRbRe
1.0
0.000 4.184 4.184
4.184 0.000 4.184
4.184 4.184 0.000
K Rb Re
1 1 1
direct
0.250 0.250 0.250
0.750 0.750 0.750
0.000 0.000 0.000
```


Record 10
A relaxed structure of K2Rb2Re6S13. Source: the Open Quantum Materials Database, functional GGA-PBE.

Calculated volume = 1107.1 Å³/cell
Space group = C2/c
E = -0.2396 Ha/atom

Cell and atoms, written as POSCAR:
```
K2Rb2Re6S13
1.0
-8.614 0.195 -4.318
5.220 -8.078 -0.616
-4.929 -2.618 12.568
K Rb Re S
4 4 12 26
direct
0.313 0.271 0.204
0.729 0.687 0.296
0.271 0.313 0.704
0.687 0.729 0.796
0.666 0.906 0.089
0.094 0.334 0.411
0.906 0.666 0.589
0.334 0.094 0.911
0.009 0.697 0.023
0.844 0.419 0.079
0.157 0.561 0.110
0.439 0.843 0.390
0.581 0.156 0.421
0.303 0.991 0.477
0.697 0.009 0.523
0.419 0.844 0.579
0.561 0.157 0.610
0.843 0.439 0.890
0.156 0.581 0.921
0.991 0.303 0.977
0.282 0.448 0.006
0.295 0.812 0.050
0.031 0.963 0.065
0.991 0.300 0.154
0.630 0.283 0.174
0.007 0.663 0.194
0.371 0.629 0.250
0.337 0.993 0.306
0.717 0.370 0.326
0.700 0.009 0.346
0.037 0.969 0.435
0.188 0.705 0.450
0.552 0.718 0.494
0.448 0.282 0.506
0.812 0.295 0.550
0.963 0.031 0.565
0.300 0.991 0.654
0.283 0.630 0.674
0.663 0.007 0.694
0.629 0.371 0.750
0.993 0.337 0.806
0.370 0.717 0.826
0.009 0.700 0.846
0.969 0.037 0.935
0.705 0.188 0.950
0.718 0.552 0.994
```


Record 11
A relaxed structure of KRbTcSeS2. Source: the Open Quantum Materials Database, functional GGA-PBE.

Calculated volume = 374.1 Å³/cell
Space group = P-1
E = -0.1771 Ha/atom

Cell and atoms, written as POSCAR:
```
KRbTcSeS2
1.0
6.904 0.000 0.000
3.131 6.873 0.000
3.200 1.016 7.884
K Rb S Se Tc
2 2 4 2 2
direct
0.097 0.182 0.135
0.903 0.818 0.865
0.339 0.572 0.297
0.661 0.428 0.703
0.626 0.162 0.102
0.262 0.971 0.488
0.738 0.029 0.512
0.374 0.838 0.898
0.832 0.622 0.269
0.168 0.378 0.731
0.618 0.949 0.337
0.382 0.051 0.663
```


Record 12
A relaxed structure of KRbUS3. Source: the Open Quantum Materials Database, functional GGA-PBE.

Calculated volume = 414.5 Å³/cell
Space group = Cmcm
E = -0.2014 Ha/atom

Cell and atoms, written as POSCAR:
```
KRbUS3
1.0
6.458 5.494 -2.807
-7.932 -4.031 -0.776
-4.987 8.733 5.618
K Rb S U
2 2 6 2
direct
0.873 0.127 0.250
0.127 0.873 0.750
0.153 0.847 0.250
0.847 0.153 0.750
0.899 0.101 0.002
0.505 0.495 0.250
0.899 0.101 0.498
0.101 0.899 0.502
0.495 0.505 0.750
0.101 0.899 0.998
0.500 0.500 0.000
0.500 0.500 0.500
```


Q: What is the E in the second record?
A: -0.2381 Ha/atom


Repeat the tenth record exactly.
A relaxed structure of K2Rb2Re6S13. Source: the Open Quantum Materials Database, functional GGA-PBE.

Calculated volume = 1107.1 Å³/cell
Space group = C2/c
E = -0.2396 Ha/atom

Cell and atoms, written as POSCAR:
```
K2Rb2Re6S13
1.0
-8.614 0.195 -4.318
5.220 -8.078 -0.616
-4.929 -2.618 12.568
K Rb Re S
4 4 12 26
direct
0.313 0.271 0.204
0.729 0.687 0.296
0.271 0.313 0.704
0.687 0.729 0.796
0.666 0.906 0.089
0.094 0.334 0.411
0.906 0.666 0.589
0.334 0.094 0.911
0.009 0.697 0.023
0.844 0.419 0.079
0.157 0.561 0.110
0.439 0.843 0.390
0.581 0.156 0.421
0.303 0.991 0.477
0.697 0.009 0.523
0.419 0.844 0.579
0.561 0.157 0.610
0.843 0.439 0.890
0.156 0.581 0.921
0.991 0.303 0.977
0.282 0.448 0.006
0.295 0.812 0.050
0.031 0.963 0.065
0.991 0.300 0.154
0.630 0.283 0.174
0.007 0.663 0.194
0.371 0.629 0.250
0.337 0.993 0.306
0.717 0.370 0.326
0.700 0.009 0.346
0.037 0.969 0.435
0.188 0.705 0.450
0.552 0.718 0.494
0.448 0.282 0.506
0.812 0.295 0.550
0.963 0.031 0.565
0.300 0.991 0.654
0.283 0.630 0.674
0.663 0.007 0.694
0.629 0.371 0.750
0.993 0.337 0.806
0.370 0.717 0.826
0.009 0.700 0.846
0.969 0.037 0.935
0.705 0.188 0.950
0.718 0.552 0.994
```


Q: calculated volume of number 11 (KRbTcSeS2)?
A: 374.1 Å³/cell